Material: MgCrCl3
Method: DFT, GGA-PBE
State: optimized geometry

a = 4.904 Å, b = 4.904 Å, c = 4.904 Å
α = 90.00°, β = 90.00°, γ = 90.00°
Atoms (fractional coordinates):
Cr 0.500 0.500 0.500
Mg 0.000 0.000 0.000
Cl 0.000 0.500 0.000
Cl 0.000 0.000 0.500
Cl 0.500 0.000 0.000

Energy   -20.94 eV/f.u.
Uncorrected formation energy   -0.837 eV/atom
Energy relative to the lowest polymorph listed for this composition   0 kJ/mol of formula units

=====

Material: LaPmAl2Pt
Method: DFT, GGA-PBE
State: optimized geometry

a = 4.305 Å, b = 4.642 Å, c = 6.953 Å
α = 109.50°, β = 108.03°, γ = 90.00°
Atoms (fractional coordinates):
La 0.431 0.431 0.861
Pm 0.195 0.695 0.390
Al 0.701 0.201 0.403
Al 0.043 0.043 0.086
Pt 0.842 0.842 0.684

DFT formation energy   -322 kJ/mol of formula units
Energy   -26.54 eV/f.u.

=====

Material: AsIrCl2
Method: DFT, GGA-PBE
State: optimized geometry

a = 8.719 Å, b = 8.719 Å, c = 8.719 Å
α = 22.86°, β = 22.86°, γ = 22.86°
Atoms (fractional coordinates):
As 0.750 0.750 0.750
Ir 0.250 0.250 0.250
Cl 0.970 0.970 0.970
Cl 0.530 0.530 0.530

Energy   -14.86 eV/f.u.
Uncorrected formation energy   0.586 eV/atom
Energy relative to the lowest polymorph listed for this composition   408 kJ/mol of formula units

=====

Copy entry 1 word for word.
Material: MgCrCl3
Method: DFT, GGA-PBE
State: optimized geometry

a = 4.904 Å, b = 4.904 Å, c = 4.904 Å
α = 90.00°, β = 90.00°, γ = 90.00°
Atoms (fractional coordinates):
Cr 0.500 0.500 0.500
Mg 0.000 0.000 0.000
Cl 0.000 0.500 0.000
Cl 0.000 0.000 0.500
Cl 0.500 0.000 0.000

Energy   -20.94 eV/f.u.
Uncorrected formation energy   -0.837 eV/atom
Energy relative to the lowest polymorph listed for this composition   0 kJ/mol of formula units